## CsKScSe3 (PBE-GGA)

Data for a geometry-optimized CsKScSe3 structure.

Output
The density of states at the Fermi level is 1.3 states/eV/cell. As for the uncorrected formation energy: -1285 meV per atom. Its space-group type is No. 15. The uncorrected energy comes out at -52.90 eV/cell.

The structure in CIF format:
```
data_CsKScSe3
_cell_length_a 8.6474
_cell_length_b 8.6474
_cell_length_c 7.2987
_cell_angle_alpha 95.81
_cell_angle_beta 95.81
_cell_angle_gamma 126.15
_symmetry_space_group_name_H-M 'P 1'
_symmetry_Int_Tables_number 1
_symmetry_space_group_name_Hall 'P 1'
loop_
_atom_site_label
_atom_site_type_symbol
_atom_site_fract_x
_atom_site_fract_y
_atom_site_fract_z
Cs1 Cs 0.2413 0.7587 0.7500
Cs2 Cs 0.7587 0.2413 0.2500
K1 K 0.0826 0.9174 0.2500
K2 K 0.9174 0.0826 0.7500
Sc1 Sc 0.4678 0.5322 0.2500
Sc2 Sc 0.5322 0.4678 0.7500
Se1 Se 0.2266 0.3460 0.4898
Se2 Se 0.3013 0.6987 0.2500
Se3 Se 0.3460 0.2266 0.9898
Se4 Se 0.6540 0.7734 0.0102
Se5 Se 0.6987 0.3013 0.7500
Se6 Se 0.7734 0.6540 0.5102
```

***

## CsKScTe3 (PBE-GGA)

Data for a geometry-optimized CsKScTe3 structure.

Output
The density of states at the Fermi level is 2.7 states/eV/cell. As for the uncorrected formation energy: -1026 meV per atom. Its space-group type is No. 15. The uncorrected energy comes out at -47.73 eV/cell.

The structure in CIF format:
```
data_CsKScTe3
_cell_length_a 9.2426
_cell_length_b 9.2426
_cell_length_c 7.8080
_cell_angle_alpha 96.11
_cell_angle_beta 96.11
_cell_angle_gamma 126.34
_symmetry_space_group_name_H-M 'P 1'
_symmetry_Int_Tables_number 1
_symmetry_space_group_name_Hall 'P 1'
loop_
_atom_site_label
_atom_site_type_symbol
_atom_site_fract_x
_atom_site_fract_y
_atom_site_fract_z
Cs1 Cs 0.2438 0.7562 0.7500
Cs2 Cs 0.7562 0.2438 0.2500
K1 K 0.0834 0.9166 0.2500
K2 K 0.9166 0.0834 0.7500
Sc1 Sc 0.4682 0.5318 0.2500
Sc2 Sc 0.5318 0.4682 0.7500
Te1 Te 0.2192 0.3435 0.4869
Te2 Te 0.2997 0.7003 0.2500
Te3 Te 0.3435 0.2192 0.9869
Te4 Te 0.6565 0.7808 0.0131
Te5 Te 0.7003 0.2997 0.7500
Te6 Te 0.7808 0.6565 0.5131
```

***

## CsK2ScTi (PBE-GGA)

Data for a geometry-optimized CsK2ScTi structure.

Output
The value obtained for the formation energy is 0.8899 eV per atom. The density of states at the Fermi level is 7.0 states/eV/cell. Its space-group type is No. 123. The uncorrected energy comes out at -12.83 eV/cell.

The structure in CIF format:
```
data_CsK2ScTi
_cell_length_a 7.1113
_cell_length_b 7.1113
_cell_length_c 5.1008
_cell_angle_alpha 90.00
_cell_angle_beta 90.00
_cell_angle_gamma 90.00
_symmetry_space_group_name_H-M 'P 1'
_symmetry_Int_Tables_number 1
_symmetry_space_group_name_Hall 'P 1'
loop_
_atom_site_label
_atom_site_type_symbol
_atom_site_fract_x
_atom_site_fract_y
_atom_site_fract_z
Cs1 Cs 0.0000 0.0000 0.0000
K1 K 0.0000 0.5000 0.5000
K2 K 0.5000 0.0000 0.5000
Sc1 Sc 0.5000 0.5000 0.0000
Ti1 Ti 0.5000 0.5000 0.5000
```

***

## CsK2ScZn (PBE-GGA)

Data for a geometry-optimized CsK2ScZn structure.

Output
The value obtained for the formation energy is 0.5441 eV per atom. The density of states at the Fermi level is 9.0 states/eV/cell. Its space-group type is No. 123. The uncorrected energy comes out at -7.93 eV/cell.

The structure in CIF format:
```
data_CsK2ScZn
_cell_length_a 7.2785
_cell_length_b 7.2785
_cell_length_c 5.4323
_cell_angle_alpha 90.00
_cell_angle_beta 90.00
_cell_angle_gamma 90.00
_symmetry_space_group_name_H-M 'P 1'
_symmetry_Int_Tables_number 1
_symmetry_space_group_name_Hall 'P 1'
loop_
_atom_site_label
_atom_site_type_symbol
_atom_site_fract_x
_atom_site_fract_y
_atom_site_fract_z
Cs1 Cs 0.0000 0.0000 0.0000
K1 K 0.0000 0.5000 0.5000
K2 K 0.5000 0.0000 0.5000
Sc1 Sc 0.5000 0.5000 0.5000
Zn1 Zn 0.5000 0.5000 0.0000
```

***

## Cs3K4Se (PBE-GGA)

Data for a geometry-optimized Cs3K4Se structure.

Output
The density of states at the Fermi level is 10.5 states/eV/cell. As for the uncorrected formation energy: -335 meV per atom. Its space-group type is No. 59. The uncorrected energy comes out at -26.23 eV/cell.

The structure in CIF format:
```
data_Cs3K4Se
_cell_length_a 8.0193
_cell_length_b 15.6428
_cell_length_c 9.1722
_cell_angle_alpha 90.00
_cell_angle_beta 90.00
_cell_angle_gamma 90.00
_symmetry_space_group_name_H-M 'P 1'
_symmetry_Int_Tables_number 1
_symmetry_space_group_name_Hall 'P 1'
loop_
_atom_site_label
_atom_site_type_symbol
_atom_site_fract_x
_atom_site_fract_y
_atom_site_fract_z
Cs1 Cs 0.2500 0.0269 0.1823
Cs2 Cs 0.2500 0.4731 0.1823
Cs3 Cs 0.2500 0.7500 0.5621
Cs4 Cs 0.7500 0.2500 0.4379
Cs5 Cs 0.7500 0.5269 0.8177
Cs6 Cs 0.7500 0.9731 0.8177
K1 K 0.0069 0.2500 0.0115
K2 K 0.2500 0.1202 0.5998
K3 K 0.2500 0.3798 0.5998
K4 K 0.4931 0.2500 0.0115
K5 K 0.5069 0.7500 0.9885
K6 K 0.7500 0.6202 0.4002
K7 K 0.7500 0.8798 0.4002
K8 K 0.9931 0.7500 0.9885
Se1 Se 0.2500 0.2500 0.3081
Se2 Se 0.7500 0.7500 0.6919
```

***

## Cs3KSe6 (PBE-GGA)

Data for a geometry-optimized Cs3KSe6 structure.

Output
The density of states at the Fermi level is 5.3 states/eV/cell. As for the uncorrected formation energy: -730 meV per atom. Its space-group type is No. 167. The uncorrected energy comes out at -63.74 eV/cell.

The structure in CIF format:
```
data_Cs3KSe6
_cell_length_a 9.3193
_cell_length_b 9.3193
_cell_length_c 9.3193
_cell_angle_alpha 99.57
_cell_angle_beta 99.57
_cell_angle_gamma 99.57
_symmetry_space_group_name_H-M 'P 1'
_symmetry_Int_Tables_number 1
_symmetry_space_group_name_Hall 'P 1'
loop_
_atom_site_label
_atom_site_type_symbol
_atom_site_fract_x
_atom_site_fract_y
_atom_site_fract_z
Cs1 Cs 0.1901 0.7500 0.3099
Cs2 Cs 0.2500 0.6901 0.8099
Cs3 Cs 0.3099 0.1901 0.7500
Cs4 Cs 0.6901 0.8099 0.2500
Cs5 Cs 0.7500 0.3099 0.1901
Cs6 Cs 0.8099 0.2500 0.6901
K1 K 0.0000 0.0000 0.0000
K2 K 0.5000 0.5000 0.5000
Se1 Se 0.0123 0.0967 0.4234
Se2 Se 0.0766 0.4033 0.4877
Se3 Se 0.0967 0.4234 0.0123
Se4 Se 0.4033 0.4877 0.0766
Se5 Se 0.4234 0.0123 0.0967
Se6 Se 0.4877 0.0766 0.4033
Se7 Se 0.5123 0.9234 0.5967
Se8 Se 0.5766 0.9877 0.9033
Se9 Se 0.5967 0.5123 0.9234
Se10 Se 0.9033 0.5766 0.9877
Se11 Se 0.9234 0.5967 0.5123
Se12 Se 0.9877 0.9033 0.5766
```

***

> Which value of uncorrected energy does entry 2 give?

-47.73 eV/cell

***

> Number 6 is which compound?

Cs3KSe6

***

> Number 5 is which compound?

Cs3K4Se

***

> Which of these has the highest uncorrected energy?

CsK2ScZn